1.
Mg30CrCuO32 | GGA+U | relaxed

Cell and atoms, written as extended XYZ:
```
64
Lattice="-4.495 -3.529 6.306 -3.316 -5.592 -5.493 6.446 -5.379 1.585" Properties=species:S:1:pos:R:3 pbc="T T T"
Mg 0.975 -4.454 3.946
Mg -0.909 -5.521 -3.737
Mg -1.177 -5.015 -0.777
Mg -4.203 -4.041 3.378
Mg 1.565 -5.485 -1.954
Mg 3.745 -4.937 2.765
Mg -0.389 -7.764 -1.742
Mg -2.630 -9.523 1.402
Mg -0.683 -7.250 1.199
Mg -3.906 -4.560 0.407
Mg -1.795 -3.971 5.126
Mg -5.873 -6.857 0.612
Mg 4.038 -5.450 -0.171
Mg -1.939 -2.263 0.202
Mg -1.472 -4.499 2.176
Mg 0.757 -2.712 -0.978
Mg 1.487 -6.709 5.933
Mg -3.427 -6.782 2.380
Mg -0.189 -9.484 3.176
Mg -0.977 -6.736 4.140
Mg 1.766 -7.201 2.972
Mg -1.658 -2.796 -2.746
Mg 1.264 -4.977 0.996
Mg -3.132 -7.298 -0.574
Mg 2.373 -8.259 -2.930
Mg -3.609 -5.080 -2.565
Mg 0.463 -2.198 1.958
Mg 0.106 -10.001 0.222
Mg -2.248 -1.764 3.153
Mg 2.061 -7.718 0.019
O -3.081 -3.170 1.773
O 1.721 -1.437 0.423
O -0.611 -3.130 3.555
O -2.285 -5.913 0.805
O 1.220 -9.109 -1.363
O 0.919 -8.587 1.593
O -0.866 -1.460 -1.434
O -0.176 -5.358 5.560
O -2.450 -4.132 -4.058
O -0.333 -3.622 0.600
O -4.249 -8.194 1.008
O -4.730 -5.951 -0.959
O 3.151 -6.809 -1.564
O -1.812 -8.136 2.783
O -1.516 -8.654 -0.180
O 2.562 -5.778 4.336
O 0.629 -8.074 4.552
O -0.022 -4.161 -2.344
O 2.414 -4.053 -0.548
O -1.033 -10.878 1.798
O 2.883 -6.305 1.390
O -1.995 -6.425 -2.154
O 4.724 -3.942 1.161
O -2.586 -5.391 3.761
O -5.024 -5.438 1.975
O 2.126 -3.550 2.331
O -2.788 -3.683 -1.161
O -3.322 -2.607 4.660
O 0.716 -6.917 -3.361
O 0.446 -6.364 -0.384
O 0.150 -5.846 2.578
O -1.174 -0.921 1.647
Cr 3.223 -2.689 0.792
Cu 0.000 0.000 0.000
```

Values from the calculation:
* crystal system: tetragonal
* raw total energy: -6.00 eV/atom


2.
MgCr2Cu2W4O16 | GGA+U | relaxed

Cell and atoms, written as extended XYZ:
```
25
Lattice="-6.326 -3.798 -1.544 3.957 -5.456 3.378 -1.972 1.241 4.539" Properties=species:S:1:pos:R:3 pbc="T T T"
O -1.946 -2.326 4.507
O -2.203 -0.322 2.867
O 0.625 -3.117 6.053
O -0.777 -5.323 4.966
O -4.480 -2.179 3.670
O -4.845 -2.571 0.633
O -1.463 -5.838 2.313
O -3.422 -5.042 4.189
O -3.643 -5.225 0.894
O 0.010 -1.135 1.309
O -6.074 -4.382 2.592
O -1.883 -2.816 1.723
O -3.381 -7.491 2.912
O 0.352 -3.322 3.281
O -3.046 -7.089 5.689
O 1.446 -5.930 3.390
Cu -4.034 -3.706 2.295
Cu 0.631 -4.920 1.786
Mg -1.699 -4.544 0.671
W -2.721 -7.045 1.029
W -3.363 -0.688 4.511
W -1.940 -6.498 4.102
W -0.695 -1.791 3.088
Cr -4.429 -4.104 -0.636
Cr 1.110 -4.536 4.757
```

Values from the calculation:
* crystal system: monoclinic
* raw total energy: -7.07 eV/atom
* energy relative to the lowest polymorph listed for this composition: 0.0000 eV per atom


3.
MgCr2Cu2W4O16 | GGA+U | relaxed

Cell and atoms, written as extended XYZ:
```
25
Lattice="5.890 4.850 0.003 -5.890 4.850 0.003 0.000 0.059 5.016" Properties=species:S:1:pos:R:3 pbc="T T T"
O -0.605 3.507 4.080
O -0.711 8.464 4.163
O 3.812 6.080 3.388
O 0.542 6.317 3.355
O -3.854 3.748 4.187
O -0.711 1.295 0.859
O 3.812 3.680 1.635
O 0.542 3.443 1.667
O 2.321 5.917 0.817
O 0.716 8.415 1.590
O -3.854 6.012 0.835
O -0.605 6.253 0.942
O -2.266 3.657 1.818
O 0.716 1.345 3.432
O 2.321 3.842 4.205
O -2.266 6.103 3.204
Cr -3.766 4.880 2.511
Cr 3.785 4.850 0.003
Mg -5.261 4.850 0.003
Cu -1.944 4.850 0.003
Cu 1.803 4.880 2.511
W 1.067 7.041 0.079
W -1.013 7.305 2.539
W -1.013 2.455 2.483
W 1.067 2.719 4.944
```

Values from the calculation:
* crystal system: monoclinic
* raw total energy: -7.05 eV/atom
* energy relative to the lowest polymorph listed for this composition: 0.0205 eV per atom


Copy entry 3 word for word.
MgCr2Cu2W4O16 | GGA+U | relaxed

Cell and atoms, written as extended XYZ:
```
25
Lattice="5.890 4.850 0.003 -5.890 4.850 0.003 0.000 0.059 5.016" Properties=species:S:1:pos:R:3 pbc="T T T"
O -0.605 3.507 4.080
O -0.711 8.464 4.163
O 3.812 6.080 3.388
O 0.542 6.317 3.355
O -3.854 3.748 4.187
O -0.711 1.295 0.859
O 3.812 3.680 1.635
O 0.542 3.443 1.667
O 2.321 5.917 0.817
O 0.716 8.415 1.590
O -3.854 6.012 0.835
O -0.605 6.253 0.942
O -2.266 3.657 1.818
O 0.716 1.345 3.432
O 2.321 3.842 4.205
O -2.266 6.103 3.204
Cr -3.766 4.880 2.511
Cr 3.785 4.850 0.003
Mg -5.261 4.850 0.003
Cu -1.944 4.850 0.003
Cu 1.803 4.880 2.511
W 1.067 7.041 0.079
W -1.013 7.305 2.539
W -1.013 2.455 2.483
W 1.067 2.719 4.944
```

Values from the calculation:
* crystal system: monoclinic
* raw total energy: -7.05 eV/atom
* energy relative to the lowest polymorph listed for this composition: 0.0205 eV per atom